BaFeOF2 | PBE+U | relaxed

Lattice parameters (Å, degrees): 4.933 4.933 4.994 90.00 90.00 90.00
Each line ends with the local moment (μB).
Atoms (fractional coordinates):
1 Ba 0.000 0.000 0.000  0.01
2 F 0.500 0.000 0.000  0.01
3 F 0.000 0.500 0.000  0.01
4 Fe 0.500 0.500 0.500  3.66
5 O 0.000 0.000 0.500  0.02

V	121.53	Å³/cell
relative energy among the computed polymorphs	8.17	eV/f.u.
density	3377	kg/m3
DOS at the Fermi energy	34.407	states/eV/f.u.